Entry 1:
The following is a DFT calculation (GGA-PBE) of a relaxed ScTi2Pb3O9 crystal.

Cell: 5.6961 5.6961 7.0553 Å, 90.00 90.00 120.00°
Last column: nearest neighbours and their distance in Å.
Space group P-3m1 (No. 164)
Unique sites:
Sc (0.0000, 0.0000, 0.0000) [1 per cell]  6 O 2.10
Ti (0.3333, 0.6667, 0.6811) [2 per cell]  6 O 1.89-2.08
Pb (0.0000, 0.0000, 0.5000) [1 per cell]  12 O 2.81-2.85
Pb (0.3333, 0.6667, 0.2071) [2 per cell]  9 O 2.64-2.86
O (0.0000, 0.5000, 0.5000) [3 per cell]  2 Ti 2.08
O (0.1696, 0.3391, 0.8209) [6 per cell]  1 Ti 1.89, 1 Sc 2.10

Entry 2:
The following is a DFT calculation (GGA-PBE) of a relaxed ReRh2W crystal.

Computed properties:
Its energy above the most stable polymorph in this dataset is 347 meV per atom.

Cell: 6.2177 6.2177 6.2177 Å, 90.00 90.00 90.00°
Last column: nearest neighbours and their distance in Å.
Space group F-43m (No. 216)
Unique sites:
Re (0.0000, 0.0000, 0.0000) [4 per cell]  4 W 2.69, 4 Rh 2.69
Rh (0.0000, 0.0000, 0.5000) [4 per cell]  4 Rh 2.69, 4 W 2.69
Rh (0.2500, 0.2500, 0.7500) [4 per cell]  4 Re 2.69, 4 Rh 2.69
W (0.2500, 0.2500, 0.2500) [4 per cell]  4 Rh 2.69, 4 Re 2.69

Entry 3:
The following is a DFT calculation (GGA-PBE) of a relaxed AgSnHg2F8 crystal.

Cell: 5.1359 7.4878 5.5181 Å, 90.00 92.04 90.00°
Last column: nearest neighbours and their distance in Å.
Space group P2/m (No. 10)
Unique sites:
Ag (0.0000, 0.0000, 0.0000) [1 per cell]  2 F 2.24
Sn (0.0000, 0.5000, 0.0000) [1 per cell]  6 F 2.02-2.05
Hg (0.5000, 0.2445, 0.5000) [2 per cell]  6 F 2.34-2.53
F (0.2018, 0.3050, 0.8368) [4 per cell]  1 Sn 2.02
F (0.2635, 0.5000, 0.2885) [2 per cell]  1 Sn 2.05
F (0.2928, 0.0000, 0.3115) [2 per cell]  1 Ag 2.24, 2 Hg 2.34

Entry 4:
The following is a DFT calculation (GGA-PBE) of a relaxed LaNi2Pt crystal.

Cell: 4.0542 4.0542 8.3185 Å, 90.00 90.00 90.00°
Last column: nearest neighbours and their distance in Å.
Space group I-4m2 (No. 119)
Unique sites:
La (0.0000, 0.0000, 0.0000) [2 per cell]  8 Ni 2.87-2.90, 4 Pt 2.90
Ni (0.0000, 0.0000, 0.5000) [2 per cell]  4 La 2.87, 4 Ni 2.90, 4 Pt 2.90
Ni (0.0000, 0.5000, 0.7500) [2 per cell]  4 Pt 2.87, 4 La 2.90, 4 Ni 2.90
Pt (0.0000, 0.5000, 0.2500) [2 per cell]  8 Ni 2.87-2.90, 4 La 2.90

Entry 5:
The following is a DFT calculation (GGA-PBE) of a relaxed La12Dy3Zn crystal.

Cell: 5.1472 5.1472 20.6918 Å, 90.00 90.00 90.00°
Last column: nearest neighbours and their distance in Å.
Space group P4/mmm (No. 123)
Unique sites:
La (0.0000, 0.0000, 0.0000) [1 per cell]  8 La 3.56, 4 Zn 3.64
La (0.0000, 0.0000, 0.2454) [2 per cell]  4 Dy 3.64, 8 La 3.67-3.68
La (0.0000, 0.0000, 0.5000) [1 per cell]  4 Dy 3.64, 8 La 3.68
La (0.0000, 0.5000, 0.1188) [4 per cell]  8 La 3.56-3.67, 2 Zn 3.56, 2 Dy 3.67
La (0.0000, 0.5000, 0.3728) [4 per cell]  8 La 3.64-3.68, 4 Dy 3.68-3.69
Dy (0.5000, 0.5000, 0.2454) [2 per cell]  12 La 3.64-3.69
Dy (0.5000, 0.5000, 0.5000) [1 per cell]  12 La 3.64-3.68
Zn (0.5000, 0.5000, 0.0000) [1 per cell]  12 La 3.56-3.64

Entry 6:
The following is a DFT calculation (GGA-PBE) of a relaxed YPd2Au6 crystal.

Cell: 12.5960 4.1169 6.6847 Å, 90.00 108.49 90.00°
Last column: nearest neighbours and their distance in Å.
Space group C2/m (No. 12)
Unique sites:
Y (0.0000, 0.0000, 0.0000) [2 per cell]  4 Pd 2.94, 8 Au 2.96-3.02
Pd (0.0520, 0.5000, 0.3307) [4 per cell]  9 Au 2.90-2.99, 2 Y 2.94, 1 Pd 2.95
Au (0.1091, 0.0000, 0.6607) [4 per cell]  7 Au 2.90-3.02, 4 Pd 2.90-2.93, 1 Y 3.00
Au (0.1697, 0.5000, 0.0082) [4 per cell]  8 Au 2.91-3.02, 2 Y 2.96, 2 Pd 2.98-2.99
Au (0.2253, 0.0000, 0.3391) [4 per cell]  8 Au 2.90-3.02, 3 Pd 2.97-2.99, 1 Y 3.02

Entry 7:
The following is a DFT calculation (GGA-PBE) of a relaxed Tc2NiW crystal.

Computed properties:
Its energy above the most stable polymorph in this dataset is 232 meV per atom.

Cell: 2.7254 2.7254 26.7299 Å, 90.00 90.00 120.00°
Last column: nearest neighbours and their distance in Å.
Space group R-3m (No. 166, hexagonal axes)
Unique sites:
Tc (0.0000, 0.0000, 0.2455) [6 per cell]  3 Ni 2.63, 6 Tc 2.73, 3 W 2.83
Ni (0.0000, 0.0000, 0.5000) [3 per cell]  6 Tc 2.63, 6 Ni 2.73
W (0.0000, 0.0000, 0.0000) [3 per cell]  6 W 2.73, 6 Tc 2.83

Entry 8:
The following is a DFT calculation (GGA-PBE) of a relaxed Sr2InSnSe crystal.

Cell: 6.3949 6.3949 5.1629 Å, 90.00 90.00 90.00°
Last column: nearest neighbours and their distance in Å.
Space group P4/mmm (No. 123)
Unique sites:
Sr (0.0000, 0.5000, 0.0000) [2 per cell]  2 In 3.20
In (0.0000, 0.0000, 0.0000) [1 per cell]  2 Se 2.58
Sn (0.5000, 0.5000, 0.5000) [1 per cell]  8 Sr 4.11, 4 Se 4.52
Se (0.0000, 0.0000, 0.5000) [1 per cell]  2 In 2.58

Entry 9:
The following is a DFT calculation (GGA-PBE) of a relaxed Ho4PtSe2 crystal.

Cell: 3.8798 13.0579 14.0185 Å, 90.00 90.00 90.00°
Last column: nearest neighbours and their distance in Å.
Space group Cmcm (No. 63)
Unique sites:
Ho (0.0000, 0.0000, 0.0000) [4 per cell]  4 Se 2.83
Ho (0.0000, 0.2910, 0.1285) [8 per cell]  3 Se 2.84-2.89, 2 Pt 2.90
Ho (0.0000, 0.4510, 0.7500) [4 per cell]  2 Pt 2.82, 2 Se 2.87
Pt (0.0000, 0.1078, 0.7500) [4 per cell]  6 Ho 2.82-2.90
Se (0.0000, 0.3585, 0.5645) [8 per cell]  6 Ho 2.83-2.89

Entry 10:
The following is a DFT calculation (GGA-PBE) of a relaxed LiFeMo crystal.

Computed properties:
Its energy above the most stable polymorph in this dataset is 471 meV per atom.

Cell: 5.5838 5.5838 5.5838 Å, 90.00 90.00 90.00°
Last column: nearest neighbours and their distance in Å.
Space group F-43m (No. 216)
Unique sites:
Li (0.0000, 0.0000, 0.0000) [4 per cell]  4 Fe 2.42
Fe (0.2500, 0.2500, 0.2500) [4 per cell]  4 Mo 2.42, 4 Li 2.42
Mo (0.0000, 0.0000, 0.5000) [4 per cell]  4 Fe 2.42

What are the DFT total energy values for these records? In order: -110.8; -158.1; -43.0; -47.3; -74.2; -79.7; -115.8; -13.5; -163.6; -75.7 eV for the cell shown.
What are the total magnetization values for these records? In order: 0.69; 0.00; 0.00; 0.00; 0.00; 0.00; 0.00; 1.51; 0.00; 0.01 μB per cell.